# 1
Below is an optimized crystal structure of LiCoAs2Rh, with properties calculated at the PBE level.

Properties
D(E_F): 0.58 states/eV per atom
Energy of formation: -0.4114 eV per atom
Crystal system: tetragonal

a = 3.9572 Å, b = 3.9572 Å, c = 10.4675 Å
α = 90.00°, β = 90.00°, γ = 90.00°
With the nearest neighbours (Å) after each atom.
Space group I-4m2 (No. 119)
One atom of each set of equivalent atoms:
Li1 0.0000 0.0000 0.0000 (multiplicity 2)  8 As 3.08, 4 Co 3.28, 4 Rh 3.28
Co1 0.0000 0.5000 0.2500 (multiplicity 2)  4 As 2.39
As1 0.0000 0.0000 0.3778 (multiplicity 4)  2 Co 2.39, 2 Rh 2.39, 1 As 2.56
Rh1 0.0000 0.5000 0.7500 (multiplicity 2)  4 As 2.39

=====

# 2
Below is an optimized crystal structure of LiCoAsRu, with properties calculated at the PBE level.

Properties
D(E_F): 0.58 states/eV per atom
Energy of formation: -0.2224 eV per atom
Crystal system: cubic

a = 5.7602 Å, b = 5.7602 Å, c = 5.7602 Å
α = 90.00°, β = 90.00°, γ = 90.00°
With the nearest neighbours (Å) after each atom.
Space group F-43m (No. 216)
One atom of each set of equivalent atoms:
Li1 0.0000 0.0000 0.0000 (multiplicity 4)  4 Co 2.49, 4 Ru 2.49
Co1 0.2500 0.2500 0.7500 (multiplicity 4)  4 As 2.49, 4 Li 2.49
As1 0.0000 0.0000 0.5000 (multiplicity 4)  4 Co 2.49, 4 Ru 2.49
Ru1 0.2500 0.2500 0.2500 (multiplicity 4)  4 As 2.49, 4 Li 2.49

=====

# 3
Below is an optimized crystal structure of LiCoAsSe2, with properties calculated at the PBE level.

Properties
E above lowest polymorph: 0.000 eV per atom
ΔE_f (raw): 0.020 eV per atom
D(E_F): 0.95 states/eV per atom
Crystal system: tetragonal

a = 4.9554 Å, b = 4.9554 Å, c = 4.3187 Å
α = 90.00°, β = 90.00°, γ = 90.00°
With the nearest neighbours (Å) after each atom.
Space group P4/mmm (No. 123)
One atom of each set of equivalent atoms:
Li1 0.0000 0.0000 0.0000 (multiplicity 1)  8 Se 3.29, 4 As 3.50
Co1 0.5000 0.5000 0.5000 (multiplicity 1)  2 As 2.16
As1 0.5000 0.5000 0.0000 (multiplicity 1)  2 Co 2.16
Se1 0.0000 0.5000 0.5000 (multiplicity 2)  2 Co 2.48

=====

# 4
Below is an optimized crystal structure of LiCo2SnAs, with properties calculated at the PBE level.

Properties
E above lowest polymorph: 0.133 eV per atom
D(E_F): 0.64 states/eV per atom
Energy of formation: -0.1126 eV per atom
Crystal system: orthorhombic

a = 2.9517 Å, b = 3.9689 Å, c = 13.1129 Å
α = 90.00°, β = 90.00°, γ = 90.00°
With the nearest neighbours (Å) after each atom.
Space group Imm2 (No. 44)
One atom of each set of equivalent atoms:
Li1 0.0000 0.0000 0.0000 (multiplicity 2)  3 Co 2.71-2.73, 2 As 2.75, 2 Li 2.95
Co1 0.0000 0.0000 0.7920 (multiplicity 2)  2 As 2.43, 2 Co 2.52, 4 Sn 2.62
Co2 0.0000 0.5000 0.6733 (multiplicity 2)  4 As 2.50, 2 Co 2.52, 2 Li 2.71
Sn1 0.0000 0.0000 0.3574 (multiplicity 2)  6 Co 2.62-2.83
As1 0.0000 0.5000 0.1452 (multiplicity 2)  6 Co 2.43-2.50

=====

# 5
Below is an optimized crystal structure of LiCo2SnAs, with properties calculated at the PBE level.

Properties
E above lowest polymorph: 0.152 eV per atom
D(E_F): 0.68 states/eV per atom
Energy of formation: -0.0929 eV per atom
Crystal system: triclinic

a = 4.4002 Å, b = 4.4026 Å, c = 4.4626 Å
α = 71.34°, β = 74.84°, γ = 72.89°
With the nearest neighbours (Å) after each atom.
Space group P1 (No. 1)
One atom of each set of equivalent atoms:
Li1 0.0000 0.0000 0.0000 (multiplicity 1)  3 Co 2.51-2.69, 1 As 2.72, 1 Sn 2.73
Co1 0.2046 0.5607 0.6996 (multiplicity 1)  2 As 2.26-2.29, 1 Li 2.52
Co2 0.7573 0.5141 0.3049 (multiplicity 1)  2 As 2.27-2.33, 1 Li 2.51
Sn1 0.3374 0.1799 0.3230 (multiplicity 1)  4 Co 2.55-2.84, 1 Li 2.73
As1 0.6604 0.6316 0.8002 (multiplicity 1)  4 Co 2.26-2.33

=====

# 6
Below is an optimized crystal structure of LiCo2SnAs, with properties calculated at the PBE level.

Properties
E above lowest polymorph: 0.115 eV per atom
D(E_F): 0.73 states/eV per atom
Energy of formation: -0.1297 eV per atom
Crystal system: monoclinic

a = 8.0709 Å, b = 2.9989 Å, c = 6.9681 Å
α = 90.00°, β = 109.02°, γ = 90.00°
With the nearest neighbours (Å) after each atom.
Space group Cm (No. 8)
One atom of each set of equivalent atoms:
Li1 0.0000 0.0000 0.0000 (multiplicity 2)  2 Co 2.69, 3 As 2.85-2.98, 3 Sn 2.92-2.94, 2 Li 3.00
Co1 0.0376 0.5000 0.3329 (multiplicity 2)  3 As 2.32-2.33, 1 Sn 2.58
Co2 0.3108 0.0000 0.5491 (multiplicity 2)  2 As 2.42, 3 Sn 2.54-2.60, 2 Co 2.69
Sn1 0.1398 0.5000 0.7245 (multiplicity 2)  4 Co 2.54-2.60
As1 0.3051 0.5000 0.2746 (multiplicity 2)  5 Co 2.32-2.42

=====

# 7
Below is an optimized crystal structure of LiCo2SnAs, with properties calculated at the PBE level.

Properties
E above lowest polymorph: 0.159 eV per atom
D(E_F): 0.80 states/eV per atom
Energy of formation: -0.0858 eV per atom
Crystal system: orthorhombic

a = 3.7185 Å, b = 5.1511 Å, c = 7.9756 Å
α = 90.00°, β = 90.00°, γ = 90.00°
With the nearest neighbours (Å) after each atom.
Space group Imm2 (No. 44)
One atom of each set of equivalent atoms:
Li1 0.0000 0.0000 0.0000 (multiplicity 2)  6 Co 2.74-2.75, 2 As 2.94
Co1 0.0000 0.2560 0.3027 (multiplicity 4)  2 As 2.28, 1 Co 2.51
Sn1 0.0000 0.0000 0.6095 (multiplicity 2)  6 Co 2.72-2.78, 2 As 2.93
As1 0.0000 0.5000 0.7855 (multiplicity 2)  4 Co 2.28

=====

# 8
Below is an optimized crystal structure of LiCo2SnAs, with properties calculated at the PBE level.

Properties
E above lowest polymorph: 0.148 eV per atom
D(E_F): 0.86 states/eV per atom
Energy of formation: -0.0975 eV per atom
Crystal system: monoclinic

a = 14.1111 Å, b = 3.7006 Å, c = 2.9320 Å
α = 90.00°, β = 91.29°, γ = 90.00°
With the nearest neighbours (Å) after each atom.
Space group Cm (No. 8)
One atom of each set of equivalent atoms:
Li1 0.0000 0.0000 0.0000 (multiplicity 2)  2 As 2.58, 1 Co 2.87
Co1 0.2110 0.0000 0.0152 (multiplicity 2)  1 As 2.29
Co2 0.3203 0.5000 0.5222 (multiplicity 2)  4 As 2.47-2.48, 1 Sn 2.63
Sn1 0.1336 0.5000 0.5074 (multiplicity 2)  5 Co 2.60-2.63
As1 0.3730 0.0000 0.0314 (multiplicity 2)  5 Co 2.29-2.48

=====

# 9
Below is an optimized crystal structure of LiCo2SnAs, with properties calculated at the PBE level.

Properties
E above lowest polymorph: 0.164 eV per atom
D(E_F): 0.71 states/eV per atom
Energy of formation: -0.0812 eV per atom
Crystal system: triclinic

a = 3.0046 Å, b = 4.2941 Å, c = 6.9298 Å
α = 106.56°, β = 90.24°, γ = 110.33°
With the nearest neighbours (Å) after each atom.
Space group P1 (No. 1)
One atom of each set of equivalent atoms:
Li1 0.0000 0.0000 0.0000 (multiplicity 1)  3 As 2.70-2.78, 3 Co 2.78-2.84, 1 Sn 2.89, 2 Li 3.00
Co1 0.5242 0.0456 0.3449 (multiplicity 1)  3 As 2.39-2.45
Co2 0.8782 0.7516 0.5703 (multiplicity 1)  1 As 2.25, 3 Sn 2.42-2.50
Sn1 0.1966 0.3816 0.7074 (multiplicity 1)  3 Co 2.42-2.50
As1 0.7837 0.5644 0.2296 (multiplicity 1)  4 Co 2.25-2.45

=====

# 10
Below is an optimized crystal structure of LiCo2SnAs, with properties calculated at the PBE level.

Properties
E above lowest polymorph: 0.212 eV per atom
D(E_F): 0.55 states/eV per atom
Energy of formation: -0.0337 eV per atom
Crystal system: triclinic

a = 2.9004 Å, b = 4.2343 Å, c = 6.2642 Å
α = 99.89°, β = 92.38°, γ = 95.46°
With the nearest neighbours (Å) after each atom.
Space group P1 (No. 1)
One atom of each set of equivalent atoms:
Li1 0.0000 0.0000 0.0000 (multiplicity 1)  2 As 2.53-2.61, 2 Co 2.68-2.74, 2 Sn 2.77-2.79
Co1 0.4584 0.4679 0.7823 (multiplicity 1)  2 As 2.26
Co2 0.9358 0.1552 0.4300 (multiplicity 1)  2 As 2.31-2.35
Sn1 0.5314 0.5512 0.2136 (multiplicity 1)  4 Co 2.65-2.84, 3 Li 2.77-2.96, 2 Sn 2.90
As1 0.4340 0.9341 0.6556 (multiplicity 1)  4 Co 2.26-2.35

=====

# 11
Below is an optimized crystal structure of LiCo2SnAs, with properties calculated at the PBE level.

Properties
E above lowest polymorph: 0.048 eV per atom
D(E_F): 0.45 states/eV per atom
Energy of formation: -0.1968 eV per atom
Crystal system: monoclinic

a = 5.4420 Å, b = 5.4431 Å, c = 6.2809 Å
α = 90.00°, β = 115.02°, γ = 90.00°
With the nearest neighbours (Å) after each atom.
Space group Cm (No. 8)
One atom of each set of equivalent atoms:
Li1 0.0000 0.0000 0.0000 (multiplicity 2)  4 Co 2.78, 4 As 2.82-2.83
Co1 0.4217 0.2506 0.3518 (multiplicity 4)  2 As 2.29, 2 Sn 2.53
Sn1 0.3133 0.0000 0.6401 (multiplicity 2)  4 Co 2.53, 1 As 2.82
As1 0.0652 0.5000 0.1350 (multiplicity 2)  4 Co 2.29

=====

# 12
Below is an optimized crystal structure of LiCo2SnAs, with properties calculated at the PBE level.

Properties
E above lowest polymorph: 0.129 eV per atom
D(E_F): 0.68 states/eV per atom
Energy of formation: -0.1166 eV per atom
Crystal system: orthorhombic

a = 3.1938 Å, b = 3.3136 Å, c = 13.5256 Å
α = 90.00°, β = 90.00°, γ = 90.00°
With the nearest neighbours (Å) after each atom.
Space group Amm2 (No. 38)
One atom of each set of equivalent atoms:
Li1 0.0000 0.0000 0.0000 (multiplicity 2)  1 As 2.36
Co1 0.0000 0.0000 0.7933 (multiplicity 2)  2 As 2.31
Co2 0.5000 0.0000 0.6175 (multiplicity 2)  4 As 2.43
Sn1 0.5000 0.0000 0.3937 (multiplicity 2)  4 Co 2.67, 4 Li 2.71
As1 0.0000 0.0000 0.1748 (multiplicity 2)  6 Co 2.31-2.43, 1 Li 2.36